VASP calculation (PBE+U) on an optimized crystal structure of SrNdNiBiO6.

Its theoretical density is 7.3 Mg/m³. The calculation puts the raw total energy at -6.06 eV/atom. The calculated volume is 13.62 Å³/atom. The space group is F-43m.

Lattice parameters (Å, degrees): 5.7749 5.7749 5.7749 60.00 60.00 60.00
Closest atoms and distances in Å follow each position.
Sites, in units of the cell vectors:
O  0.2544  0.2544  0.7456  1 Ni 2.01, 1 Bi 2.08
Ni  0.5000  0.5000  0.5000  6 O 2.01
Bi  0.0000  0.0000  0.0000  6 O 2.08
Nd  0.2500  0.2500  0.2500  12 O 2.89
Sr  0.7500  0.7500  0.7500  12 O 2.89
O  0.7456  0.2544  0.2544  1 Ni 2.01, 1 Bi 2.08
O  0.2544  0.7456  0.7456  1 Ni 2.01, 1 Bi 2.08
O  0.7456  0.2544  0.7456  1 Ni 2.01, 1 Bi 2.08
O  0.7456  0.7456  0.2544  1 Ni 2.01, 1 Bi 2.08
O  0.2544  0.7456  0.2544  1 Ni 2.01, 1 Bi 2.08